{
  "formula": "AlSnGe2",
  "functional": "PBE",
  "state": "relaxed",
  "dft_energy_ev_per_cell": -33.0,
  "ef_ev_per_atom": 0.117,
  "lattice": [[5.878, 0.000, 0.000], [0.000, 5.878, 0.000], [2.939, 2.939, 6.257]],
  "species": ["Al", "Al", "Ge", "Ge", "Ge", "Ge", "Sn", "Sn"],
  "frac_coords": [[0.500, 0.500, 0.000], [0.250, 0.750, 0.500], [0.150, 0.625, 0.250], [0.600, 0.125, 0.250], [0.875, 0.850, 0.750], [0.375, 0.400, 0.750], [0.000, 0.000, 0.000], [0.750, 0.250, 0.500]]
}

{
  "formula": "Fe4AsAu",
  "functional": "PBE",
  "state": "relaxed",
  "dft_energy_ev_per_cell": -40.1,
  "ef_ev_per_atom": 0.281,
  "lattice": [[0.000, 3.465, 3.465], [3.465, 0.000, 3.465], [3.465, 3.465, 0.000]],
  "species": ["As", "Au", "Fe", "Fe", "Fe", "Fe"],
  "frac_coords": [[0.250, 0.250, 0.250], [0.000, 0.000, 0.000], [0.625, 0.126, 0.625], [0.126, 0.625, 0.625], [0.625, 0.625, 0.625], [0.625, 0.625, 0.126]]
}

{
  "formula": "Tl2SnHg",
  "functional": "PBE",
  "state": "relaxed",
  "dft_energy_ev_per_cell": -9.0,
  "ef_ev_per_atom": 0.020,
  "lattice": [[3.576, 0.000, 0.000], [0.000, 5.698, 0.000], [0.000, 0.000, 5.698]],
  "species": ["Tl", "Tl", "Hg", "Sn"],
  "frac_coords": [[0.000, 0.500, 0.000], [0.000, 0.000, 0.500], [0.500, 0.500, 0.500], [0.500, 0.000, 0.000]]
}

{
  "formula": "Ba4PtAuBr2",
  "functional": "PBE",
  "state": "relaxed",
  "formation_energy_uncorrected_ev_per_atom": -1.24,
  "dft_energy_ev_per_cell": -30.3,
  "lattice": [[-1.203, 4.463, 0.144], [-7.517, -1.890, -4.200], [-5.528, -1.670, 5.558]],
  "species": ["Ba", "Ba", "Ba", "Ba", "Au", "Pt", "Br", "Br"],
  "frac_coords": [[0.500, 0.282, 0.749], [0.000, 0.286, 0.229], [0.000, 0.714, 0.771], [0.500, 0.718, 0.251], [0.000, 0.500, 0.500], [0.500, 0.500, 0.000], [0.500, 0.000, 0.500], [0.000, 0.000, 0.000]]
}